A plane-wave DFT calculation with PBE was carried out for crystalline Li2NdZnPd at its relaxed geometry.

Geometry as POSCAR:
```
Li2NdZnPd
1.0
4.080 0.000 0.000
0.000 4.037 0.000
-2.040 -2.019 6.062
Zn Li Nd Pd
1 2 1 1
Direct
0.197 0.697 0.393
0.054 0.054 0.107
0.698 0.198 0.396
0.425 0.425 0.850
0.839 0.839 0.677
```

Computed properties:
Space-group type: Imm2, No. 44
ΔH_f (0 K) in eV/atom: -0.328

***

A plane-wave DFT calculation with PBE was carried out for crystalline La5NpP6 at its relaxed geometry.

Geometry as POSCAR:
```
La5NpP6
1.0
-6.070 -3.840 -1.355
6.108 -3.436 2.079
-1.894 3.076 6.353
P La Np
6 5 1
Direct
0.920 0.600 0.758
0.238 0.238 0.758
0.400 0.080 0.242
0.600 0.920 0.758
0.762 0.762 0.242
0.080 0.400 0.242
0.168 0.832 0.500
0.334 0.666 0.000
0.832 0.168 0.500
0.666 0.334 0.000
0.500 0.500 0.500
0.000 0.000 0.000
```

Computed properties:
Space-group type: C2/m, No. 12
ΔH_f (0 K) in eV/atom: -1.433

***

A plane-wave DFT calculation with PBE was carried out for crystalline SrTlBiF6 at its relaxed geometry.

Geometry as POSCAR:
```
SrTlBiF6
1.0
6.548 0.000 0.000
-3.274 5.671 0.000
0.000 0.000 10.581
F Sr Bi Tl
12 2 2 2
Direct
0.380 0.362 0.360
0.018 0.638 0.860
0.362 0.982 0.640
0.620 0.638 0.640
0.620 0.982 0.860
0.018 0.380 0.640
0.982 0.620 0.360
0.362 0.380 0.860
0.638 0.620 0.140
0.380 0.018 0.140
0.982 0.362 0.140
0.638 0.018 0.360
0.333 0.667 0.250
0.667 0.333 0.750
0.667 0.333 0.250
0.333 0.667 0.750
0.000 0.000 0.500
0.000 0.000 0.000
```

Computed properties:
Uncorrected energy in eV/atom: -4.890
Space-group type: P-31c, No. 163

***

A plane-wave DFT calculation with PBE was carried out for crystalline YHf2MgTc at its relaxed geometry.

Geometry as POSCAR:
```
YHf2MgTc
1.0
4.978 0.000 0.000
0.000 5.222 0.000
0.000 0.000 4.978
Mg Y Tc Hf
1 1 1 2
Direct
0.000 0.000 0.000
0.000 0.500 0.000
0.500 0.500 0.500
0.000 0.000 0.500
0.500 0.000 0.000
```

Computed properties:
Space-group type: P4/mmm, No. 123
ΔH_f (0 K) in eV/atom: 1.615

***

Computed values of density of states at the Fermi level (unit: states/eV/f.u.) for the preceding records, in sequence: 1.95 12.84 0.00 9.65.